1.
A plane-wave DFT calculation with PBE was carried out for crystalline Sm8SnTe2 at its relaxed geometry.

Results
Formation energy (no corrections) in eV/atom: -0.49
Total magnetic moment in Bohr magnetons per cell: 0.0
Space-group type: No. 12
Energy in eV per atom: -4.860
Theoretical density in g/cm³: 7.419

Structure (extended XYZ):
```
11
Lattice="4.324 -7.013 0.000 4.324 7.013 0.000 -1.414 0.000 5.818" Properties=species:S:1:pos:R:3 pbc="T T T"
Sm 0.782 1.617 3.717
Sm 4.324 3.626 0.000
Sm 0.782 -1.617 3.717
Sm 3.117 0.000 1.179
Sm 4.117 0.000 4.639
Sm 6.452 1.617 2.101
Sm 4.324 -3.626 0.000
Sm 6.452 -1.617 2.101
Sn 0.000 0.000 0.000
Te 3.617 2.697 2.909
Te 3.617 -2.697 2.909
```

2.
A plane-wave DFT calculation with PBE was carried out for crystalline Sm2SnTe at its relaxed geometry.

Results
Formation energy (no corrections) in eV/atom: -1.10
Total magnetic moment in Bohr magnetons per cell: 0.0
Space-group type: No. 166
Energy in eV per atom: -5.246
Theoretical density in g/cm³: 7.155
Distance to the lowest polymorph of the same formula in meV per atom: 9.8

Structure (extended XYZ):
```
4
Lattice="2.232 1.289 7.356 -2.232 1.289 7.356 0.000 -2.577 7.356" Properties=species:S:1:pos:R:3 pbc="T T T"
Sm 0.000 0.000 5.443
Sm 0.000 0.000 16.624
Sn 0.000 0.000 11.034
Te 0.000 0.000 0.000
```

3.
A plane-wave DFT calculation with PBE was carried out for crystalline Sm2SnTe at its relaxed geometry.

Results
Formation energy (no corrections) in eV/atom: -0.93
Total magnetic moment in Bohr magnetons per cell: 0.3
Space-group type: No. 123
Energy in eV per atom: -5.075
Theoretical density in g/cm³: 7.965
Distance to the lowest polymorph of the same formula in meV per atom: 181.1

Structure (extended XYZ):
```
4
Lattice="3.718 0.000 0.000 0.000 3.718 0.000 0.000 0.000 8.249" Properties=species:S:1:pos:R:3 pbc="T T T"
Sm 0.000 0.000 2.005
Sm 0.000 0.000 6.244
Sn 1.859 1.859 4.125
Te 1.859 1.859 0.000
```

4.
A plane-wave DFT calculation with PBE was carried out for crystalline SmSn6Te8 at its relaxed geometry.

Results
Formation energy (no corrections) in eV/atom: -0.36
Total magnetic moment in Bohr magnetons per cell: 0.0
Space-group type: No. 147
Energy in eV per atom: -3.950
Theoretical density in g/cm³: 5.491

Structure (extended XYZ):
```
15
Lattice="10.253 0.000 0.000 -5.126 8.879 0.000 0.000 0.000 6.256" Properties=species:S:1:pos:R:3 pbc="T T T"
Sm 0.000 0.000 0.000
Sn -2.623 5.986 1.057
Sn 1.253 3.615 1.057
Sn 3.757 0.722 5.199
Sn 1.369 8.157 1.057
Sn 3.873 5.264 5.199
Sn 7.749 2.893 5.199
Te 8.895 2.345 1.650
Te -3.768 6.534 4.606
Te 1.352 2.349 4.606
Te 2.710 0.004 1.650
Te 0.000 5.920 5.888
Te 5.127 2.960 0.368
Te 2.416 8.876 4.606
Te 3.774 6.530 1.650
```

5.
A plane-wave DFT calculation with PBE was carried out for crystalline Sm3Sn2Te at its relaxed geometry.

Results
Formation energy (no corrections) in eV/atom: -0.94
Total magnetic moment in Bohr magnetons per cell: 0.0
Space-group type: No. 71
Energy in eV per atom: -5.156
Theoretical density in g/cm³: 7.164

Structure (extended XYZ):
```
6
Lattice="-2.203 3.160 6.794 2.203 -3.160 6.794 2.203 3.160 -6.794" Properties=species:S:1:pos:R:3 pbc="T T T"
Sm 0.000 0.000 0.000
Sm 0.000 0.000 4.521
Sm 0.000 0.000 9.067
Sn 2.203 0.000 2.231
Sn 0.000 3.160 4.563
Te 0.000 3.160 0.000
```

6.
A plane-wave DFT calculation with PBE was carried out for crystalline SmSn5Te7 at its relaxed geometry.

Results
Formation energy (no corrections) in eV/atom: -0.47
Total magnetic moment in Bohr magnetons per cell: 0.0
Space-group type: No. 36
Energy in eV per atom: -4.065
Theoretical density in g/cm³: 6.285

Structure (extended XYZ):
```
26
Lattice="2.204 -7.507 0.000 2.204 7.507 0.000 0.000 0.000 26.138" Properties=species:S:1:pos:R:3 pbc="T T T"
Sm 2.204 4.401 13.069
Sm 2.204 -4.401 0.000
Sn 2.204 7.336 19.375
Sn 2.204 3.625 4.308
Sn 2.204 3.219 21.276
Sn 2.204 0.846 10.151
Sn 2.204 0.397 15.425
Sn 2.204 -0.397 2.356
Sn 2.204 -0.846 23.220
Sn 2.204 -3.219 8.207
Sn 2.204 -3.625 17.377
Sn 2.204 -7.336 6.306
Te 2.204 6.387 9.055
Te 2.204 5.760 16.127
Te 2.204 4.914 1.560
Te 2.204 4.446 24.091
Te 2.204 2.247 7.247
Te 2.204 1.853 18.352
Te 2.204 0.898 25.778
Te 2.204 -0.898 12.709
Te 2.204 -1.853 5.283
Te 2.204 -2.247 20.316
Te 2.204 -4.446 11.022
Te 2.204 -4.914 14.628
Te 2.204 -5.760 3.058
Te 2.204 -6.387 22.124
```

7.
A plane-wave DFT calculation with PBE was carried out for crystalline Sm7Sn2Te2 at its relaxed geometry.

Results
Formation energy (no corrections) in eV/atom: -0.52
Total magnetic moment in Bohr magnetons per cell: 0.0
Space-group type: No. 65
Energy in eV per atom: -4.818
Theoretical density in g/cm³: 7.125

Structure (extended XYZ):
```
11
Lattice="4.421 -5.632 0.000 4.421 5.632 0.000 0.000 0.000 7.230" Properties=species:S:1:pos:R:3 pbc="T T T"
Sm 0.000 0.000 0.000
Sm 2.211 2.816 2.014
Sm 2.211 2.816 5.216
Sm 2.211 -2.816 2.014
Sm 2.211 -2.816 5.216
Sm 4.421 0.000 1.894
Sm 4.421 0.000 5.336
Sn 1.575 0.000 3.615
Sn 7.267 0.000 3.615
Te 4.421 2.508 0.000
Te 4.421 -2.508 0.000
```

8.
A plane-wave DFT calculation with PBE was carried out for crystalline Sm2SnTe4 at its relaxed geometry.

Results
Formation energy (no corrections) in eV/atom: -1.06
Total magnetic moment in Bohr magnetons per cell: 0.0
Space-group type: No. 12
Energy in eV per atom: -4.776
Theoretical density in g/cm³: 5.878

Structure (extended XYZ):
```
7
Lattice="8.356 -2.240 0.000 8.356 2.240 0.000 -3.441 0.000 7.018" Properties=species:S:1:pos:R:3 pbc="T T T"
Sm 3.174 0.000 1.565
Sm 10.096 0.000 5.453
Sn 6.635 0.000 3.509
Te 0.613 0.000 3.408
Te 6.109 0.000 0.353
Te 7.161 0.000 6.665
Te 12.657 0.000 3.611
```

9.
A plane-wave DFT calculation with PBE was carried out for crystalline Sm2SnTe at its relaxed geometry.

Results
Formation energy (no corrections) in eV/atom: -1.11
Total magnetic moment in Bohr magnetons per cell: 0.0
Space-group type: No. 15
Energy in eV per atom: -5.256
Theoretical density in g/cm³: 7.180
Distance to the lowest polymorph of the same formula in meV per atom: 0.0

Structure (extended XYZ):
```
16
Lattice="4.483 -8.907 0.000 4.483 8.907 0.000 -4.430 0.000 6.337" Properties=species:S:1:pos:R:3 pbc="T T T"
Sm -1.083 3.343 4.714
Sm 1.066 1.115 1.545
Sm -1.150 -1.115 4.713
Sm 1.132 -3.343 1.546
Sm 3.403 3.343 4.791
Sm 5.685 1.115 1.624
Sm 3.470 -1.115 4.792
Sm 5.619 -3.343 1.623
Sn 3.375 7.755 1.584
Sn 1.160 5.528 4.753
Sn 3.375 -5.528 1.584
Sn 1.160 -7.755 4.753
Te 3.375 3.305 1.584
Te 1.160 1.080 4.753
Te 3.375 -1.080 1.584
Te 1.160 -3.305 4.753
```

10.
A plane-wave DFT calculation with PBE was carried out for crystalline Sm6SnTe4 at its relaxed geometry.

Results
Formation energy (no corrections) in eV/atom: -1.15
Total magnetic moment in Bohr magnetons per cell: 0.0
Space-group type: No. 63
Energy in eV per atom: -5.228
Theoretical density in g/cm³: 7.301

Structure (extended XYZ):
```
22
Lattice="2.194 -7.156 0.000 2.194 7.156 0.000 0.000 0.000 22.184" Properties=species:S:1:pos:R:3 pbc="T T T"
Sm 0.000 0.000 0.000
Sm 0.000 0.000 11.092
Sm 2.194 4.657 16.638
Sm 2.194 3.363 2.351
Sm 2.194 3.363 8.741
Sm 2.194 0.862 14.812
Sm 2.194 0.862 18.465
Sm 2.194 -0.862 3.720
Sm 2.194 -0.862 7.372
Sm 2.194 -3.363 13.443
Sm 2.194 -3.363 19.833
Sm 2.194 -4.657 5.546
Sn 2.194 4.734 5.546
Sn 2.194 -4.734 16.638
Te 2.194 5.972 13.908
Te 2.194 5.972 19.368
Te 2.194 2.100 11.891
Te 2.194 2.100 21.386
Te 2.194 -2.100 0.799
Te 2.194 -2.100 10.294
Te 2.194 -5.972 2.816
Te 2.194 -5.972 8.276
```

11.
A plane-wave DFT calculation with PBE was carried out for crystalline Sm5SnTe4 at its relaxed geometry.

Results
Formation energy (no corrections) in eV/atom: -1.30
Total magnetic moment in Bohr magnetons per cell: 0.0
Space-group type: No. 87
Energy in eV per atom: -5.321
Theoretical density in g/cm³: 7.321

Structure (extended XYZ):
```
10
Lattice="-4.992 4.992 3.143 4.992 -4.992 3.143 4.992 4.992 -3.143" Properties=species:S:1:pos:R:3 pbc="T T T"
Sm 0.000 0.000 0.000
Sm 4.007 2.072 0.000
Sm 2.920 -0.985 3.143
Sm 2.072 5.977 0.000
Sm 0.985 2.920 3.143
Sn 0.000 0.000 3.143
Te 6.971 0.975 0.000
Te 0.975 3.012 0.000
Te 4.016 1.980 3.143
Te -1.980 4.016 3.143
```

12.
A plane-wave DFT calculation with PBE was carried out for crystalline Sm5Sn2Te at its relaxed geometry.

Results
Formation energy (no corrections) in eV/atom: -0.57
Total magnetic moment in Bohr magnetons per cell: 0.0
Space-group type: No. 63
Energy in eV per atom: -4.912
Theoretical density in g/cm³: 7.465

Structure (extended XYZ):
```
16
Lattice="2.918 -4.795 0.000 2.918 4.795 0.000 0.000 0.000 17.752" Properties=species:S:1:pos:R:3 pbc="T T T"
Sm 2.918 3.950 10.383
Sm 2.918 3.950 16.245
Sm 2.918 3.047 4.438
Sm 2.918 0.844 10.511
Sm 2.918 0.844 16.117
Sm 2.918 -0.844 1.635
Sm 2.918 -0.844 7.241
Sm 2.918 -3.047 13.314
Sm 2.918 -3.950 1.507
Sm 2.918 -3.950 7.369
Sn 2.918 2.364 1.331
Sn 2.918 2.364 7.545
Sn 2.918 -2.364 10.207
Sn 2.918 -2.364 16.421
Te 2.918 2.924 13.314
Te 2.918 -2.924 4.438
```